Entry 1:
# LiVSiO4 (PBE with a Hubbard U, optimized geometry)
data_LiVSiO4
_symmetry_space_group_name_H-M 'R -3'
_symmetry_Int_Tables_number 148
_symmetry_space_group_name_Hall '-R 3'
_cell_length_a 14.0198
_cell_length_b 14.0198
_cell_length_c 9.4585
_cell_angle_alpha 90.00
_cell_angle_beta 90.00
_cell_angle_gamma 120.00
loop_
_atom_site_label
_atom_site_fract_x
_atom_site_fract_y
_atom_site_fract_z
Li1 0.0161 0.2068 0.2525
V1 0.0179 0.2211 0.5883
Si1 0.0206 0.2059 0.9240
O1 0.0100 0.3157 0.9404
O2 0.0708 0.1973 0.7733
O3 0.0957 0.2017 0.0579
O4 0.0991 0.2240 0.4277
# size of the total moment: 36.0 Bohr magnetons per cell
# relative energy among the computed polymorphs: 0.079 eV per atom
# calculated volume: 1610.0 Å³ per cell
# DOS at the Fermi energy: 0.000 states/eV per atom

---

Entry 2:
# Li3VSiO5 (PBE with a Hubbard U, optimized geometry)
data_Li3VSiO5
_symmetry_space_group_name_H-M 'P n a 21'
_symmetry_Int_Tables_number 33
_cell_length_a 5.534
_cell_length_b 15.940
_cell_length_c 4.936
_cell_angle_alpha 90.00
_cell_angle_beta 90.00
_cell_angle_gamma 90.00
loop_
_symmetry_equiv_pos_as_xyz
'x,y,z'
'-x,-y,z+1/2'
'-x+1/2,y+1/2,z+1/2'
'x+1/2,-y+1/2,z'
loop_
_atom_site_label
_atom_site_fract_x
_atom_site_fract_y
_atom_site_fract_z
Li1 0.159 0.090 0.000
Li2 0.166 0.507 0.004
Li3 0.184 0.695 0.001
V1 0.164 0.303 0.002
Si1 0.169 0.904 0.003
O1 0.111 0.102 0.603
O2 0.171 0.702 0.593
O3 0.180 0.900 0.662
O4 0.183 0.485 0.606
O5 0.184 0.315 0.601
# size of the total moment: 8.0 Bohr magnetons per cell
# relative energy among the computed polymorphs: 0.000 eV per atom
# calculated volume: 435.4 Å³ per cell